Record 1
A relaxed Er4TlSe2 crystal. Source: Alexandria via LeMat-Bulk, functional PBE-GGA.

The structure in extended XYZ format:
```
14
Lattice="-1.297 7.688 -1.258 -5.527 -5.417 -1.580 0.960 -0.502 7.823" Properties=species:S:1:pos:R:3 pbc="T T T"
Se -0.384 0.269 3.772
Se -3.357 4.502 -1.488
Se -4.213 -2.164 5.765
Se -3.774 0.933 1.923
Er -3.799 -4.191 3.808
Er -1.505 -1.361 5.821
Er -5.382 0.628 -0.379
Tl -6.824 2.272 -2.838
Er -2.615 1.852 4.478
Er -2.226 2.421 0.052
Er -2.046 -1.302 1.904
Er -4.805 -3.198 0.436
Tl -1.875 4.161 2.573
Er -5.306 -0.874 3.502
```

Summary:
Formation energy without anion corrections = -997 meV per atom
Excess energy over the best structure of this formula in the dataset = 52 meV/atom

=====

Record 2
A relaxed P3HPt crystal. Source: Alexandria via LeMat-Bulk, functional PBE-GGA.

The structure in extended XYZ format:
```
5
Lattice="4.721 0.000 0.000 0.000 4.721 0.000 0.000 0.000 4.721" Properties=species:S:1:pos:R:3 pbc="T T T"
P 2.360 0.000 0.000
H 2.360 2.360 2.360
P 0.000 0.000 2.360
P 0.000 2.360 0.000
Pt 0.000 0.000 0.000
```

Summary:
Excess energy over the best structure of this formula in the dataset = 637 meV/atom

=====

Record 3
A relaxed K6ReN4 crystal. Source: Alexandria via LeMat-Bulk, functional PBE-GGA.

The structure in extended XYZ format:
```
22
Lattice="6.713 0.000 0.000 0.000 8.121 -4.689 0.000 0.000 9.377" Properties=species:S:1:pos:R:3 pbc="T T T"
Re 1.541 5.414 0.000
N 5.544 4.446 4.689
K 4.283 4.390 -1.773
K 6.536 2.296 0.000
N 2.187 3.675 0.000
K 4.283 4.390 1.773
K 3.179 5.825 4.689
K 3.179 1.148 7.389
K 4.283 7.461 0.000
K 3.179 1.148 1.989
N 6.380 5.414 0.000
K 0.927 3.731 6.462
Re 4.898 2.707 4.689
N 5.544 1.837 6.195
K 0.927 0.660 4.689
N 5.544 1.837 3.182
K 6.536 6.973 2.700
K 0.927 3.731 2.916
N 3.024 2.707 4.689
N 2.187 6.283 1.506
K 6.536 6.973 -2.700
N 2.187 6.283 -1.506
```

Summary:
Formation energy without anion corrections = -170 meV per atom
Excess energy over the best structure of this formula in the dataset = 0 meV/atom

=====

Record 4
A relaxed PuHgPb3 crystal. Source: Alexandria via LeMat-Bulk, functional PBE-GGA.

The structure in extended XYZ format:
```
20
Lattice="-1.858 7.136 1.789 -6.976 -0.414 -5.592 -5.145 -3.004 6.641" Properties=species:S:1:pos:R:3 pbc="T T T"
Pb -7.203 2.241 4.422
Pu -8.234 -0.200 2.520
Pb -10.907 -2.109 1.921
Pb -8.902 -0.938 -0.667
Pu -12.063 3.196 1.089
Pu -1.916 0.522 1.748
Hg -3.502 2.066 4.215
Hg -0.929 3.568 0.894
Pb -8.763 2.693 1.084
Pu -5.745 3.918 0.318
Pb -3.072 5.827 0.917
Hg -3.488 -0.207 -2.796
Pb -5.077 4.656 3.504
Hg -6.061 -1.709 0.524
Pb -5.480 -1.280 4.165
Pb -10.767 1.523 3.672
Pb -8.499 4.999 -1.328
Pb -3.212 2.195 -0.834
Pb -5.217 1.025 1.753
Pb -6.776 1.478 -1.585
```

Summary:
Energy relative to the elements = 29 meV per atom